Entry 1:
Pm5PtRh4: optimized geometry, GGA-PBE.

The space group is P4/mmm (No. 123) and the conventional cell measures 3.515, 3.515 and 17.829 Å, with angles of 90.00, 90.00 and 90.00 degrees. The distinct sites, in fractional coordinates, are Pm at (0.000, 0.000, 0.000), Pm at (0.000, 0.000, 0.199), Pm at (0.000, 0.000, 0.397), Pt at (0.500, 0.500, 0.500), Rh at (0.500, 0.500, 0.099) and Rh at (0.500, 0.500, 0.299).

As for the mass density: 10.04 g cm⁻³. The energy of formation comes out at -0.765 eV/atom. The value obtained for the total energy is -6.685 eV/atom.

---

Entry 2:
KOs2Au: optimized geometry, GGA-PBE.

The space group is Cm (No. 8) and the conventional cell measures 8.137, 2.728 and 7.945 Å, with angles of 90.00, 94.41 and 90.00 degrees. The distinct sites, in fractional coordinates, are K at (0.000, 0.000, 0.000), Os at (0.233, 0.000, 0.673), Os at (0.486, 0.000, 0.548) and Au at (0.265, 0.500, 0.310).

As for the mass density: 11.64 g cm⁻³. The energy of formation comes out at 0.689 eV/atom. The value obtained for the total energy is -6.019 eV/atom. For the energy above the most stable polymorph in this dataset, the calculation gives 0.146 eV per atom.

---

Entry 3:
Sr4MgZr: optimized geometry, GGA-PBE.

The space group is F-43m (No. 216) and the conventional cell measures 10.039, 10.039 and 10.039 Å, with angles of 90.00, 90.00 and 90.00 degrees. The distinct sites, in fractional coordinates, are Sr at (0.124, 0.124, 0.124), Mg at (0.000, 0.000, 0.500) and Zr at (0.250, 0.250, 0.750).

As for the mass density: 3.06 g cm⁻³. The energy of formation comes out at 0.721 eV/atom. The value obtained for the total energy is -2.091 eV/atom.